No. 1
Entry from the Alexandria database: an optimized crystal structure of La6SmCd (PBE).

Computed properties:
- spin magnetization (μB/cell) = 0.0
- distance to the lowest polymorph of the same formula (meV/atom) = 0
- ΔH_f (0 K) (kJ/mol of formula units) = -45

Unit cell a=5.143 b=5.143 c=10.357 alpha=90.00 beta=90.00 gamma=90.00
Fractional positions:
La: 0.000 0.500 0.254
Sm: 0.000 0.000 0.000
Cd: 0.000 0.000 0.500
La: 0.500 0.000 0.254
La: 0.500 0.500 0.000
La: 0.500 0.500 0.500
La: 0.000 0.500 0.746
La: 0.500 0.000 0.746

No. 2
Entry from the Alexandria database: an optimized crystal structure of La8Sm2Cd (PBE).

Computed properties:
- spin magnetization (μB/cell) = 0.0
- distance to the lowest polymorph of the same formula (meV/atom) = 0
- ΔH_f (0 K) (kJ/mol of formula units) = -30

Unit cell a=5.157 b=8.230 c=9.690 alpha=104.77 beta=105.43 gamma=90.00
Fractional positions:
La: 0.409 0.550 0.819
Cd: 0.500 0.000 0.000
Sm: 0.227 0.636 0.453
La: 0.137 0.180 0.274
La: 0.677 0.911 0.354
La: 0.955 0.272 0.910
La: 0.591 0.450 0.181
La: 0.863 0.820 0.726
La: 0.045 0.728 0.090
Sm: 0.773 0.364 0.547
La: 0.323 0.089 0.646

| no. | DFT total energy (eV/atom) |
| --- | --- |
| 1 | -4.458 |
| 2 | -4.554 |